{
  "formula": "CuTcH2S",
  "functional": "PBE",
  "state": "optimized geometry",
  "lattice_angstrom": [[3.453, 0.000, 0.000], [0.000, 3.453, 0.000], [0.000, 0.000, 5.000]],
  "species": ["Cu", "Tc", "H", "H", "S"],
  "fractional_positions": [[0.000, 0.000, 0.000], [0.500, 0.500, 0.000], [0.000, 0.500, 0.500], [0.500, 0.000, 0.500], [0.500, 0.500, 0.500]],
  "magmom_total_mub_per_fu": 2.05,
  "crystal_system": "tetragonal"
}

=====

{
  "formula": "Tl2CuHS2",
  "functional": "PBE",
  "state": "optimized geometry",
  "lattice_angstrom": [[-2.762, 8.626, 2.570], [2.762, -8.626, 2.570], [2.762, 8.626, -2.570]],
  "species": ["Tl", "Tl", "Tl", "Tl", "Cu", "Cu", "H", "H", "S", "S", "S", "S"],
  "fractional_positions": [[0.162, 0.237, 0.399], [0.338, 0.737, 0.075], [0.662, 0.263, 0.925], [0.838, 0.763, 0.601], [0.250, 0.250, 0.000], [0.750, 0.750, 0.000], [0.250, 0.750, 0.500], [0.750, 0.250, 0.500], [0.070, 0.712, 0.782], [0.430, 0.212, 0.642], [0.570, 0.788, 0.358], [0.930, 0.288, 0.218]],
  "magmom_total_mub_per_fu": 0.00,
  "crystal_system": "orthorhombic"
}

=====

{
  "formula": "CuSbH",
  "functional": "PBE",
  "state": "optimized geometry",
  "lattice_angstrom": [[3.977, -1.729, 0.000], [3.977, 1.729, 0.000], [-0.102, 0.000, 7.366]],
  "species": ["Cu", "Cu", "Sb", "Sb", "H", "H"],
  "fractional_positions": [[0.000, 0.000, 0.000], [0.707, 0.707, 0.145], [0.279, 0.279, 0.820], [0.414, 0.414, 0.294], [0.417, 0.417, 0.540], [0.713, 0.713, 0.696]],
  "magmom_total_mub_per_fu": 0.00,
  "crystal_system": "monoclinic",
  "polymorph_energy_ev_per_atom": 0.043
}

=====

{
  "formula": "CuSb2H",
  "functional": "PBE",
  "state": "optimized geometry",
  "lattice_angstrom": [[0.000, 3.257, 3.257], [3.257, 0.000, 3.257], [3.257, 3.257, 0.000]],
  "species": ["Cu", "Sb", "Sb", "H"],
  "fractional_positions": [[0.000, 0.000, 0.000], [0.250, 0.250, 0.250], [0.750, 0.750, 0.750], [0.500, 0.500, 0.500]],
  "magmom_total_mub_per_fu": 0.00,
  "crystal_system": "cubic",
  "polymorph_energy_ev_per_atom": 0.201
}

=====

{
  "formula": "CuSbH",
  "functional": "PBE",
  "state": "optimized geometry",
  "lattice_angstrom": [[4.226, 0.000, 0.000], [0.000, 4.226, 0.000], [0.000, 0.000, 6.607]],
  "species": ["Cu", "Cu", "Sb", "Sb", "H", "H"],
  "fractional_positions": [[0.250, 0.750, 0.000], [0.750, 0.250, 0.000], [0.250, 0.250, 0.220], [0.750, 0.750, 0.780], [0.250, 0.250, 0.482], [0.750, 0.750, 0.518]],
  "magmom_total_mub_per_fu": 0.00,
  "crystal_system": "tetragonal",
  "polymorph_energy_ev_per_atom": 0.017
}

=====

{
  "formula": "CuSbH3",
  "functional": "PBE",
  "state": "optimized geometry",
  "lattice_angstrom": [[3.971, 0.000, 0.000], [0.000, 3.971, 0.000], [0.000, 0.000, 3.971]],
  "species": ["Cu", "Sb", "H", "H", "H"],
  "fractional_positions": [[0.000, 0.000, 0.000], [0.500, 0.500, 0.500], [0.000, 0.500, 0.500], [0.500, 0.000, 0.500], [0.500, 0.500, 0.000]],
  "magmom_total_mub_per_fu": 0.00,
  "crystal_system": "cubic",
  "polymorph_energy_ev_per_atom": 0.222
}

=====

no.,electronic total energy (eV/atom)
1,-4.2805
2,-3.3732
3,-3.5404
4,-3.4787
5,-3.5659
6,-2.8266